Entry from Alexandria: an optimized crystal structure of KRbCd2Hg (PBE).

Cell lengths 5.886, 5.886, 6.444 Å; angles 90.00, 90.00, 90.00 degrees
Fractional positions:
Rb 0.000 0.000 0.500
Cd 0.500 0.000 0.000
Cd 0.000 0.500 0.000
K 0.500 0.500 0.500
Hg 0.000 0.000 0.000

Computed properties:
Density (g/cm3): 4.090
DOS(E_F) (states/eV/f.u.): 2.92
SG: P4/mmm (123)
Energy of formation from the pure elements (eV/atom): 0.04


Entry from Alexandria: an optimized crystal structure of KRbCd2Hg (PBE).

Cell lengths 5.896, 5.896, 6.283 Å; angles 90.00, 90.00, 90.00 degrees
Fractional positions:
Rb 0.500 0.500 0.500
Cd 0.000 0.500 0.000
Cd 0.500 0.000 0.000
Hg 0.000 0.000 0.000
K 0.000 0.000 0.500

Computed properties:
Density (g/cm3): 4.182
DOS(E_F) (states/eV/f.u.): 2.83
SG: P4/mmm (123)
Energy of formation from the pure elements (eV/atom): 0.01


Entry from Alexandria: an optimized crystal structure of K2Rb4CdHg2 (PBE).

Cell lengths 7.303, 8.454, 9.811 Å; angles 94.31, 115.72, 75.43 degrees
Fractional positions:
Rb 0.177 0.188 0.459
Rb 0.488 0.247 0.074
Rb 0.823 0.812 0.541
Rb 0.512 0.753 0.926
K 0.222 0.668 0.304
K 0.778 0.332 0.696
Cd 0.000 0.000 0.000
Hg 0.960 0.365 0.082
Hg 0.040 0.635 0.918

Computed properties:
Density (g/cm3): 2.938
DOS(E_F) (states/eV/f.u.): 5.49
SG: P-1 (2)
Energy of formation from the pure elements (eV/atom): -0.09


Entry from Alexandria: an optimized crystal structure of K2Rb6CdHg (PBE).

Cell lengths 10.240, 10.240, 10.271 Å; angles 120.09, 120.08, 90.07 degrees
Fractional positions:
Rb 0.754 0.251 0.004
Rb 0.250 0.250 0.004
Rb 0.747 0.748 0.494
Rb 0.244 0.244 0.487
Rb 0.753 0.754 0.003
Rb 0.250 0.754 0.004
K 0.757 0.257 0.512
K 0.256 0.757 0.512
Cd 0.494 0.494 0.988
Hg 0.994 0.994 0.989

Computed properties:
Density (g/cm3): 1.977
DOS(E_F) (states/eV/f.u.): 8.67
SG: Cm (8)
Energy of formation from the pure elements (eV/atom): -0.01


Entry from Alexandria: an optimized crystal structure of K2Rb5CdHg2 (PBE).

Cell lengths 4.860, 15.442, 15.442 Å; angles 90.00, 90.00, 90.00 degrees
Fractional positions:
Rb 0.500 0.697 0.443
Rb 0.500 0.943 0.197
Rb 0.500 0.057 0.803
Rb 0.500 0.197 0.057
Rb 0.500 0.000 0.500
Rb 0.500 0.443 0.303
Rb 0.500 0.557 0.697
Rb 0.500 0.803 0.943
Rb 0.500 0.500 0.000
Rb 0.500 0.303 0.557
K 0.000 0.817 0.683
K 0.000 0.317 0.817
K 0.000 0.683 0.183
K 0.000 0.183 0.317
Hg 0.000 0.634 0.866
Hg 0.000 0.134 0.634
Hg 0.000 0.366 0.134
Hg 0.000 0.866 0.366
Cd 0.000 0.000 0.000
Cd 0.000 0.500 0.500

Computed properties:
Density (g/cm3): 2.920
DOS(E_F) (states/eV/f.u.): 6.75
SG: P4/mbm (127)
Energy of formation from the pure elements (eV/atom): -0.09


Entry from Alexandria: an optimized crystal structure of KRb2CdHg (PBE).

Cell lengths 7.132, 7.132, 5.926 Å; angles 90.00, 90.00, 90.00 degrees
Fractional positions:
Rb 0.000 0.500 0.000
Rb 0.500 0.000 0.000
K 0.500 0.500 0.500
Hg 0.000 0.000 0.500
Cd 0.000 0.000 0.000

Computed properties:
Density (g/cm3): 2.881
DOS(E_F) (states/eV/f.u.): 2.61
SG: P4/mmm (123)
Energy of formation from the pure elements (eV/atom): 0.01


Entry from Alexandria: an optimized crystal structure of KRb2CdHg (PBE).

Cell lengths 6.031, 5.445, 9.796 Å; angles 106.14, 107.93, 90.00 degrees
Fractional positions:
Rb 0.910 0.910 0.821
Rb 0.239 0.239 0.477
Cd 0.627 0.127 0.254
K 0.505 0.505 0.011
Hg 0.702 0.702 0.404

Computed properties:
Density (g/cm3): 2.967
DOS(E_F) (states/eV/f.u.): 3.68
SG: Imm2 (44)
Energy of formation from the pure elements (eV/atom): -0.03


Entry from Alexandria: an optimized crystal structure of KRb2CdHg2 (PBE).

Cell lengths 5.538, 9.172, 9.974 Å; angles 90.00, 90.00, 90.00 degrees
Fractional positions:
K 0.000 0.522 0.533
K 0.000 0.022 0.467
Cd 0.500 0.130 0.695
Cd 0.500 0.630 0.305
Rb 0.000 0.858 0.844
Rb 0.000 0.358 0.156
Rb 0.500 0.000 0.131
Rb 0.500 0.500 0.869
Hg 0.500 0.291 0.411
Hg 0.000 0.744 0.207
Hg 0.500 0.791 0.589
Hg 0.000 0.244 0.793

Computed properties:
Density (g/cm3): 4.744
DOS(E_F) (states/eV/f.u.): 3.42
SG: Pmc2_1 (26)
Energy of formation from the pure elements (eV/atom): -0.15


Q: density of number 8 (KRb2CdHg2)?
A: 4.744 g/cm3


Q: Number 6 is which compound?
A: KRb2CdHg


Q: Which of these has the highest DOS(E_F)?
A: K2Rb6CdHg